VASP calculation (PBE-GGA) on a geometry-optimized TmMnGa structure. Values from VASP.

```
&SYSTEM
  ibrav = 0, nat = 6, ntyp = 3
/
ATOMIC_SPECIES
Tm 168.93 Tm.upf
Mn 54.94 Mn.upf
Ga 69.72 Ga.upf
CELL_PARAMETERS angstrom
1.9823 1.1445 8.5826
-1.9823 1.1445 8.5826
0.0000 -2.2890 8.5826
ATOMIC_POSITIONS angstrom
Tm 0.0000 0.0000 5.6585
Tm 0.0000 0.0000 20.0893
Mn 0.0000 0.0000 8.7585
Mn 0.0000 0.0000 16.9893
Ga 0.0000 0.0000 1.2807
Ga 0.0000 0.0000 24.4671
```

Calculated values
N(E_F): 4.135 states/eV/cell
DFT formation energy: -0.19 eV/atom
Space-group type: No. 166
Magnetization: 0.0 Bohr magnetons per cell

---

VASP calculation (PBE-GGA) on a geometry-optimized TmMnGa structure. Values from VASP.

```
&SYSTEM
  ibrav = 0, nat = 3, ntyp = 3
/
ATOMIC_SPECIES
Tm 168.93 Tm.upf
Mn 54.94 Mn.upf
Ga 69.72 Ga.upf
CELL_PARAMETERS angstrom
4.4263 0.0000 0.0000
-2.2132 3.8333 0.0000
0.0000 0.0000 3.4810
ATOMIC_POSITIONS angstrom
Tm 0.0000 0.0000 0.0000
Mn 2.2132 1.2778 1.7405
Ga 0.0000 2.5555 1.7405
```

Calculated values
N(E_F): 1.953 states/eV/cell
DFT formation energy: -0.25 eV/atom
Space-group type: No. 187
Magnetization: 3.2 Bohr magnetons per cell

---

VASP calculation (PBE-GGA) on a geometry-optimized TmMnGa2 structure. Values from VASP.

```
&SYSTEM
  ibrav = 0, nat = 4, ntyp = 3
/
ATOMIC_SPECIES
Tm 168.93 Tm.upf
Mn 54.94 Mn.upf
Ga 69.72 Ga.upf
CELL_PARAMETERS angstrom
4.2372 0.0000 0.0000
0.0000 4.2372 0.0000
0.0000 0.0000 4.1213
ATOMIC_POSITIONS angstrom
Tm 0.0000 0.0000 0.0000
Mn 2.1186 2.1186 0.0000
Ga 0.0000 2.1186 2.0606
Ga 2.1186 0.0000 2.0606
```

Calculated values
N(E_F): 3.010 states/eV/cell
DFT formation energy: -0.25 eV/atom
Space-group type: No. 123
Magnetization: 3.9 Bohr magnetons per cell

---

VASP calculation (PBE-GGA) on a geometry-optimized TmMnGa2 structure. Values from VASP.

```
&SYSTEM
  ibrav = 0, nat = 4, ntyp = 3
/
ATOMIC_SPECIES
Tm 168.93 Tm.upf
Mn 54.94 Mn.upf
Ga 69.72 Ga.upf
CELL_PARAMETERS angstrom
3.2803 0.0000 0.0000
0.0000 3.2803 0.0000
0.0000 0.0000 6.6215
ATOMIC_POSITIONS angstrom
Tm 0.0000 0.0000 0.0000
Mn 0.0000 0.0000 3.3108
Ga 1.6401 1.6401 1.9577
Ga 1.6401 1.6401 4.6638
```

Calculated values
N(E_F): 3.760 states/eV/cell
DFT formation energy: -0.26 eV/atom
Space-group type: No. 123
Magnetization: 3.3 Bohr magnetons per cell

---

VASP calculation (PBE-GGA) on a geometry-optimized Tm6Mn2Ga structure. Values from VASP.

```
&SYSTEM
  ibrav = 0, nat = 18, ntyp = 3
/
ATOMIC_SPECIES
Tm 168.93 Tm.upf
Mn 54.94 Mn.upf
Ga 69.72 Ga.upf
CELL_PARAMETERS angstrom
-4.6782 4.6861 4.8584
4.6782 -4.6861 4.8584
4.6782 4.6861 -4.8584
ATOMIC_POSITIONS angstrom
Tm 4.6782 -2.7349 3.0709
Tm 2.7289 0.0000 2.2813
Tm 6.6275 0.0000 2.2813
Tm 2.9323 2.6220 0.0000
Tm 6.4241 2.6220 0.0000
Tm 0.0000 1.9512 1.7874
Tm 4.6782 2.7349 3.0709
Tm -1.7459 2.0641 4.8584
Tm 1.7459 2.0641 4.8584
Tm -1.9493 4.6861 2.5771
Tm 1.9493 4.6861 2.5771
Tm 0.0000 7.4210 1.7874
Mn 1.1039 0.0000 0.0000
Mn 8.2525 0.0000 0.0000
Mn 0.0000 0.0000 3.8149
Mn 0.0000 0.0000 5.9018
Ga 4.6782 0.0000 0.0000
Ga 0.0000 4.6861 0.0000
```

Calculated values
N(E_F): 18.315 states/eV/cell
DFT formation energy: -0.12 eV/atom
Space-group type: No. 71
Magnetization: 4.6 Bohr magnetons per cell

---

VASP calculation (PBE-GGA) on a geometry-optimized YTmMnGa structure. Values from VASP.

```
&SYSTEM
  ibrav = 0, nat = 4, ntyp = 4
/
ATOMIC_SPECIES
Y 88.91 Y.upf
Tm 168.93 Tm.upf
Mn 54.94 Mn.upf
Ga 69.72 Ga.upf
CELL_PARAMETERS angstrom
0.0000 3.5444 3.5444
3.5444 0.0000 3.5444
3.5444 3.5444 0.0000
ATOMIC_POSITIONS angstrom
Y 0.0000 0.0000 0.0000
Tm 3.5444 3.5444 3.5444
Mn 1.7722 1.7722 1.7722
Ga 5.3165 5.3165 5.3165
```

Calculated values
N(E_F): 5.093 states/eV/cell
DFT formation energy: -0.17 eV/atom
Space-group type: No. 216
Magnetization: 3.4 Bohr magnetons per cell

---

VASP calculation (PBE-GGA) on a geometry-optimized TmMnZnGa structure. Values from VASP.

```
&SYSTEM
  ibrav = 0, nat = 4, ntyp = 4
/
ATOMIC_SPECIES
Tm 168.93 Tm.upf
Mn 54.94 Mn.upf
Zn 65.41 Zn.upf
Ga 69.72 Ga.upf
CELL_PARAMETERS angstrom
0.0000 3.2754 3.2754
3.2754 0.0000 3.2754
3.2754 3.2754 0.0000
ATOMIC_POSITIONS angstrom
Tm 0.0000 0.0000 0.0000
Mn 3.2754 3.2754 3.2754
Zn 4.9130 4.9130 4.9130
Ga 1.6377 1.6377 1.6377
```

Calculated values
N(E_F): 1.662 states/eV/cell
DFT formation energy: -0.21 eV/atom
Space-group type: No. 216
Magnetization: 3.1 Bohr magnetons per cell

---

VASP calculation (PBE-GGA) on a geometry-optimized UMn2Ga structure. Values from VASP.

```
&SYSTEM
  ibrav = 0, nat = 8, ntyp = 3
/
ATOMIC_SPECIES
U 238.03 U.upf
Mn 54.94 Mn.upf
Ga 69.72 Ga.upf
CELL_PARAMETERS angstrom
5.0228 0.0000 0.0000
0.0000 4.3004 0.0000
-0.8809 0.0000 5.3010
ATOMIC_POSITIONS angstrom
U -0.0554 1.0751 1.9258
U 4.1973 3.2253 3.3752
Mn 0.8729 3.2253 0.8387
Mn 1.6984 3.2253 3.3176
Mn 2.4435 1.0751 1.9834
Mn 3.2690 1.0751 4.4623
Ga 0.8179 1.0751 4.7760
Ga 3.3241 3.2253 0.5249
```

Calculated values
N(E_F): 8.389 states/eV/cell
DFT formation energy: -0.08 eV/atom
Space-group type: No. 11
Magnetization: 0.6 Bohr magnetons per cell

---

VASP calculation (PBE-GGA) on a geometry-optimized UMnGa structure. Values from VASP.

```
&SYSTEM
  ibrav = 0, nat = 3, ntyp = 3
/
ATOMIC_SPECIES
U 238.03 U.upf
Mn 54.94 Mn.upf
Ga 69.72 Ga.upf
CELL_PARAMETERS angstrom
-1.4777 1.4777 5.5222
1.4777 -1.4777 5.5222
1.4777 1.4777 -5.5222
ATOMIC_POSITIONS angstrom
U 0.0000 0.0000 0.0000
Mn 0.0000 0.0000 3.8690
Ga 0.0000 0.0000 7.8877
```

Calculated values
N(E_F): 3.630 states/eV/cell
DFT formation energy: -0.09 eV/atom
Space-group type: No. 107
Magnetization: 0.0 Bohr magnetons per cell

---

VASP calculation (PBE-GGA) on a geometry-optimized UMnGa3 structure. Values from VASP.

```
&SYSTEM
  ibrav = 0, nat = 10, ntyp = 3
/
ATOMIC_SPECIES
U 238.03 U.upf
Mn 54.94 Mn.upf
Ga 69.72 Ga.upf
CELL_PARAMETERS angstrom
6.5803 0.0000 0.0000
0.0000 3.2890 0.0000
-3.0847 0.0000 7.7138
ATOMIC_POSITIONS angstrom
U 0.7770 0.8223 1.0101
U 2.7186 2.4668 6.7037
Mn 2.3672 2.4668 1.8856
Mn 1.1284 0.8223 5.8282
Ga -1.5179 0.8223 5.1734
Ga 0.6900 2.4668 3.8972
Ga -0.4911 2.4668 6.9396
Ga 3.9867 0.8223 0.7741
Ga 2.8055 0.8223 3.8166
Ga 5.0135 2.4668 2.5404
```

Calculated values
N(E_F): 9.092 states/eV/cell
DFT formation energy: -0.07 eV/atom
Space-group type: No. 11
Magnetization: 0.1 Bohr magnetons per cell

---

VASP calculation (PBE-GGA) on a geometry-optimized UMnGa structure. Values from VASP.

```
&SYSTEM
  ibrav = 0, nat = 12, ntyp = 3
/
ATOMIC_SPECIES
U 238.03 U.upf
Mn 54.94 Mn.upf
Ga 69.72 Ga.upf
CELL_PARAMETERS angstrom
5.8457 0.0000 0.0000
0.0000 5.6742 0.0000
-5.6598 0.0000 6.4517
ATOMIC_POSITIONS angstrom
U -1.7315 0.6891 2.5651
U -4.5613 2.1480 5.7910
U 4.7472 3.5261 0.6607
U 1.9173 4.9851 3.8866
Mn -0.1947 0.7273 1.0848
Mn -3.0246 2.1098 4.3106
Mn 3.2105 3.5643 2.1411
Mn 0.3806 4.9469 5.3669
Ga -0.9582 3.5420 3.9320
Ga 1.8716 4.9693 0.7061
Ga -1.6858 0.7049 5.7456
Ga 1.1441 2.1322 2.5198
```

Calculated values
N(E_F): 13.260 states/eV/cell
DFT formation energy: -0.22 eV/atom
Space-group type: No. 14
Magnetization: 0.2 Bohr magnetons per cell

---

VASP calculation (PBE-GGA) on a geometry-optimized UMnGa structure. Values from VASP.

```
&SYSTEM
  ibrav = 0, nat = 12, ntyp = 3
/
ATOMIC_SPECIES
U 238.03 U.upf
Mn 54.94 Mn.upf
Ga 69.72 Ga.upf
CELL_PARAMETERS angstrom
6.2528 0.0000 0.0000
0.0000 6.0390 0.0000
-2.0077 0.0000 5.3991
ATOMIC_POSITIONS angstrom
U 0.3163 0.4798 2.6427
U -0.6875 2.5397 5.3422
U 4.9326 3.4992 0.0569
U 3.9288 5.5592 2.7564
Mn 2.7439 1.2828 0.8545
Mn 1.7401 1.7367 3.5540
Mn 2.5050 4.3023 1.8451
Mn 1.5011 4.7561 4.5446
Ga 0.1857 3.5992 2.6130
Ga -0.8181 5.4592 5.3125
Ga 5.0632 0.5798 0.0866
Ga 4.0594 2.4397 2.7861
```

Calculated values
N(E_F): 11.615 states/eV/cell
DFT formation energy: -0.13 eV/atom
Space-group type: No. 14
Magnetization: 0.0 Bohr magnetons per cell

---

> Look up the N(E_F) of the tenth one.

9.092 states/eV/cell